The following is a DFT calculation (PBE-GGA) of a relaxed PmThPaSn crystal.

Cell and atoms, written as POSCAR:
```
PmThPaSn
1.0
0.0000 3.8596 3.8596
3.8596 0.0000 3.8596
3.8596 3.8596 0.0000
Pm Th Pa Sn
1 1 1 1
Cartesian
0.0000 0.0000 0.0000 Pm
3.8596 3.8596 3.8596 Th
1.9298 1.9298 1.9298 Pa
5.7894 5.7894 5.7894 Sn
```

Properties
As for the total magnetic moment: 2.0 μB/cell. For the formation energy, the calculation gives 0.924 kcal/mol of atoms. The calculation puts the total energy at -6.38 eV/atom.